No. 1
Compound: Rb4SmNp3Te8
Source: Alexandria
Functional: PBE
Structure: relaxed

Cell: 10.053 10.053 10.053 Å, 54.52 54.52 54.52°
Sites, in units of the cell vectors:
Rb: 0.000 0.000 0.000
Rb: 0.000 0.500 0.500
Rb: 0.500 0.000 0.500
Rb: 0.500 0.500 0.000
Sm: 0.500 0.500 0.500
Np: 0.000 0.000 0.500
Np: 0.000 0.500 0.000
Np: 0.500 0.000 0.000
Te: 0.233 0.233 0.233
Te: 0.233 0.734 0.734
Te: 0.266 0.266 0.767
Te: 0.266 0.767 0.266
Te: 0.734 0.233 0.734
Te: 0.734 0.734 0.233
Te: 0.767 0.266 0.266
Te: 0.767 0.767 0.767

Properties
The calculated total energy comes out at -88.68 eV per cell. Its raw formation energy is -97.3 kJ per mole of atoms. Its total magnetic moment is 0.75 μB per atom. Its space group is R-3m (166).

***

No. 2
Compound: Ag3Os
Source: Alexandria
Functional: PBE
Structure: relaxed

Cell: 2.680 4.335 5.786 Å, 90.00 90.00 90.00°
Sites, in units of the cell vectors:
Ag: 0.000 0.000 0.000
Ag: 0.500 0.500 0.259
Ag: 0.500 0.500 0.741
Os: 0.000 0.000 0.500

Properties
The calculated total energy comes out at -17.39 eV per cell. For the energy above the most stable polymorph in this dataset, the calculation gives 19.1 kJ per mole of atoms. The calculation puts the formation energy at 599 meV per atom. Its total magnetic moment is 0.00 μB per atom. Its space group is Pmmm (47).

***

No. 3
Compound: TbScPt
Source: Alexandria
Functional: PBE
Structure: relaxed

Cell: 4.734 4.734 4.734 Å, 60.00 60.00 60.00°
Sites, in units of the cell vectors:
Tb: 0.000 0.000 0.000
Sc: 0.500 0.500 0.500
Pt: 0.750 0.750 0.750

Properties
The calculated total energy comes out at -19.50 eV per cell. For the energy above the most stable polymorph in this dataset, the calculation gives 12.2 kJ per mole of atoms. The calculation puts the formation energy at -833 meV per atom. Its total magnetic moment is 0.00 μB per atom. Its space group is F-43m (216).